Compound: PmGe2Rh3
Source: the Alexandria database
Functional: PBE-GGA
Structure: relaxed

Cell lengths 4.061, 8.465, 9.878 Å; angles 107.19, 90.00, 103.88 degrees
Element x y z (fractional)
Pm1 0.162 0.325 0.703
Pm2 0.838 0.675 0.297
Pm3 0.000 0.000 0.000
Ge1 0.194 0.388 0.127
Ge2 0.806 0.612 0.873
Ge3 0.463 0.926 0.222
Ge4 0.537 0.074 0.778
Ge5 0.361 0.722 0.547
Ge6 0.639 0.278 0.453
Rh1 0.041 0.083 0.332
Rh2 0.959 0.917 0.668
Rh3 0.216 0.432 0.393
Rh4 0.784 0.568 0.607
Rh5 0.620 0.241 0.198
Rh6 0.380 0.759 0.802
Rh7 0.500 0.000 0.500
Rh8 0.321 0.643 0.040
Rh9 0.679 0.357 0.960

- Formation energy from the elements: -0.797 eV per atom
- Relative energy among the computed polymorphs: 0.0 meV per atom
- Total magnetization: 0.0 Bohr magnetons per cell
- E: -0.500 Ry per atom

***

Compound: SiMoW
Source: the Alexandria database
Functional: PBE-GGA
Structure: relaxed

Cell lengths 4.899, 4.899, 4.899 Å; angles 141.97, 141.97, 54.88 degrees
Element x y z (fractional)
Mo1 0.999 0.999 0.000
Si1 0.334 0.334 0.000
W1 0.668 0.668 0.000

- Relative energy among the computed polymorphs: 0.0 meV per atom
- Total magnetization: 0.0 Bohr magnetons per cell
- Energy relative to the elements, uncorrected: -0.08 eV/atom
- E: -0.721 Ry per atom

***

Compound: MgCdAuO4
Source: the Alexandria database
Functional: PBE-GGA
Structure: relaxed

Cell lengths 5.904, 5.904, 6.373 Å; angles 90.00, 90.00, 117.78 degrees
Last column: magnetic moment on the atom in μB.
Element x y z (fractional)
Mg1 0.829 0.171 0.250  0.00
Mg2 0.171 0.829 0.750  0.00
Cd1 0.500 0.500 0.500  0.01
Cd2 0.500 0.500 0.000  0.01
Au1 0.137 0.863 0.250  0.31
Au2 0.863 0.137 0.750  0.31
O1 0.234 0.198 0.750  0.08
O2 0.802 0.766 0.750  0.08
O3 0.721 0.279 0.985  0.17
O4 0.721 0.279 0.515  0.17
O5 0.279 0.721 0.015  0.17
O6 0.279 0.721 0.485  0.17
O7 0.766 0.802 0.250  0.08
O8 0.198 0.234 0.250  0.08

- Total magnetization: 1.9 Bohr magnetons per cell
- Energy relative to the elements, uncorrected: -0.68 eV/atom
- E: -0.319 Ry per atom

***

Compound: PPb5
Source: the Alexandria database
Functional: PBE-GGA
Structure: relaxed

Cell lengths 3.602, 3.602, 13.404 Å; angles 90.00, 90.00, 90.00 degrees
Element x y z (fractional)
P1 0.500 0.500 0.000
Pb1 0.000 0.000 0.876
Pb2 0.000 0.000 0.124
Pb3 0.500 0.500 0.680
Pb4 0.500 0.500 0.320
Pb5 0.000 0.000 0.500

- Formation energy from the elements: 0.111 eV per atom
- Relative energy among the computed polymorphs: 3.9 meV per atom
- Total magnetization: 0.0 Bohr magnetons per cell
- E: -0.285 Ry per atom

***

Compound: Cs2CeSnTe4
Source: the Alexandria database
Functional: PBE-GGA
Structure: relaxed

Cell lengths 4.688, 9.170, 8.171 Å; angles 73.31, 90.00, 90.00 degrees
Last column: magnetic moment on the atom in μB.
Element x y z (fractional)
Cs1 0.000 0.000 0.000  0.00
Cs2 0.500 0.000 0.500  0.00
Ce1 0.000 0.500 0.500  0.24
Sn1 0.500 0.500 0.000  0.00
Te1 0.000 0.688 0.758  -0.01
Te2 0.000 0.312 0.242  -0.01
Te3 0.500 0.687 0.278  -0.01
Te4 0.500 0.313 0.722  -0.01

- Total magnetization: 0.1 Bohr magnetons per cell
- Energy relative to the elements, uncorrected: -0.98 eV/atom
- E: -0.295 Ry per atom

***

Compound: Mg5GaHg8
Source: the Alexandria database
Functional: PBE-GGA
Structure: relaxed

Cell lengths 7.455, 7.455, 7.455 Å; angles 109.53, 109.35, 109.53 degrees
Element x y z (fractional)
Mg1 0.972 0.395 0.124
Mg2 0.876 0.848 0.271
Mg3 0.729 0.605 0.576
Mg4 0.500 0.000 0.500
Mg5 0.424 0.152 0.028
Ga1 0.250 0.500 0.750
Hg1 0.114 0.760 0.015
Hg2 0.985 0.099 0.745
Hg3 0.806 0.236 0.386
Hg4 0.614 0.420 0.850
Hg5 0.430 0.580 0.194
Hg6 0.646 0.901 0.886
Hg7 0.255 0.240 0.354
Hg8 0.150 0.764 0.570

- Formation energy from the elements: -0.122 eV per atom
- Total magnetization: 0.0 Bohr magnetons per cell
- E: -0.079 Ry per atom